Computed, not measured: a relaxed HfNb2ReSe crystal at the PBE-GGA level of DFT.

```
data_HfNb2ReSe
_cell_length_a 4.9913
_cell_length_b 4.9913
_cell_length_c 4.5744
_cell_angle_alpha 90.00
_cell_angle_beta 90.00
_cell_angle_gamma 90.00
_symmetry_space_group_name_H-M 'P 4/m m m'
_symmetry_Int_Tables_number 123
_symmetry_space_group_name_Hall '-P 4 2'
loop_
_atom_site_label
_atom_site_type_symbol
_atom_site_fract_x
_atom_site_fract_y
_atom_site_fract_z
Hf1 Hf 0.0000 0.0000 0.0000
Nb1 Nb 0.0000 0.5000 0.5000
Re1 Re 0.5000 0.5000 0.5000
Se1 Se 0.5000 0.5000 0.0000
```

Output
The value obtained for the formation energy from raw total energies is 1.088 eV per atom. The crystal system is tetragonal. The density of states at the Fermi level comes out at 1.6952 states/eV/atom. For the total magnetization, the calculation gives 0.00 μB per cell.